Record 1
Below is an optimized crystal structure of Ag6Te2Cl, with properties calculated at the PBE level.

For the uncorrected energy, the calculation gives -2.827 eV per atom. The value obtained for the density of states at the Fermi level is 0.21 states/eV/atom. For the total magnetization, the calculation gives 0.000 μB per formula unit. As for the space group: C2/c, No. 15.

Lattice parameters (Å, degrees): 8.148 8.148 9.702 119.88 119.88 57.93
Atoms (fractional coordinates):
Ag  0.033  0.110  0.437
Ag  0.110  0.033  0.937
Ag  0.135  0.624  0.842
Ag  0.276  0.510  0.403
Ag  0.376  0.865  0.658
Ag  0.490  0.724  0.097
Ag  0.510  0.276  0.903
Ag  0.624  0.135  0.342
Ag  0.724  0.490  0.597
Ag  0.865  0.376  0.158
Ag  0.890  0.967  0.063
Ag  0.967  0.890  0.563
Te  0.108  0.261  0.791
Te  0.261  0.108  0.291
Te  0.739  0.892  0.709
Te  0.892  0.739  0.209
Cl  0.457  0.543  0.750
Cl  0.543  0.457  0.250

Record 2
Below is an optimized crystal structure of Ag3TeCl, with properties calculated at the PBE level.

For the uncorrected energy, the calculation gives -2.679 eV per atom. The value obtained for the density of states at the Fermi level is 0.00 states/eV/atom. For the total magnetization, the calculation gives 0.000 μB per formula unit. As for the space group: Pm-3m, No. 221.

Lattice parameters (Å, degrees): 5.313 5.313 5.313 90.00 90.00 90.00
Atoms (fractional coordinates):
Ag  0.000  0.000  0.500
Ag  0.000  0.500  0.000
Ag  0.500  0.000  0.000
Te  0.000  0.000  0.000
Cl  0.500  0.500  0.500

Record 3
Below is an optimized crystal structure of Ag3TeCl7, with properties calculated at the PBE level.

For the uncorrected energy, the calculation gives -2.742 eV per atom. The value obtained for the density of states at the Fermi level is 0.00 states/eV/atom. For the total magnetization, the calculation gives 0.000 μB per formula unit. As for the space group: Cm, No. 8.

Lattice parameters (Å, degrees): 7.622 7.622 7.285 110.30 110.30 67.55
Atoms (fractional coordinates):
Ag  0.000  0.000  0.000
Ag  0.242  0.742  0.523
Ag  0.742  0.242  0.523
Te  0.363  0.363  0.940
Cl  0.036  0.448  0.721
Cl  0.256  0.256  0.153
Cl  0.270  0.743  0.183
Cl  0.448  0.036  0.721
Cl  0.500  0.500  0.725
Cl  0.743  0.270  0.183
Cl  0.918  0.918  0.617

Record 4
Below is an optimized crystal structure of Ag4Te2Cl, with properties calculated at the PBE level.

For the uncorrected energy, the calculation gives -2.841 eV per atom. The value obtained for the density of states at the Fermi level is 0.41 states/eV/atom. For the total magnetization, the calculation gives 0.000 μB per formula unit. As for the space group: C2/c, No. 15.

Lattice parameters (Å, degrees): 8.262 8.262 8.240 119.74 119.74 89.86
Atoms (fractional coordinates):
Ag  0.231  0.243  0.487
Ag  0.243  0.231  0.987
Ag  0.244  0.755  0.985
Ag  0.245  0.756  0.515
Ag  0.755  0.244  0.485
Ag  0.756  0.245  0.015
Ag  0.757  0.769  0.013
Ag  0.769  0.757  0.513
Te  0.000  0.000  0.000
Te  0.000  0.000  0.500
Te  0.000  0.500  0.500
Te  0.500  0.000  0.000
Cl  0.376  0.624  0.250
Cl  0.624  0.376  0.750

Record 5
Below is an optimized crystal structure of AgTe2Cl8, with properties calculated at the PBE level.

For the uncorrected energy, the calculation gives -2.570 eV per atom. The value obtained for the density of states at the Fermi level is 0.30 states/eV/atom. For the total magnetization, the calculation gives 0.824 μB per formula unit. As for the space group: C2/m, No. 12.

Lattice parameters (Å, degrees): 7.856 7.856 7.402 105.38 105.38 54.98
Atoms (fractional coordinates):
Ag  0.000  0.000  0.000
Te  0.144  0.144  0.598
Te  0.856  0.856  0.402
Cl  0.186  0.734  0.239
Cl  0.257  0.257  0.401
Cl  0.266  0.814  0.761
Cl  0.279  0.279  0.873
Cl  0.721  0.721  0.127
Cl  0.734  0.186  0.239
Cl  0.743  0.743  0.599
Cl  0.814  0.266  0.761

Record 6
Below is an optimized crystal structure of AgTeCl4, with properties calculated at the PBE level.

For the uncorrected energy, the calculation gives -2.677 eV per atom. The value obtained for the density of states at the Fermi level is 0.20 states/eV/atom. For the total magnetization, the calculation gives 0.000 μB per formula unit. As for the space group: C2/c, No. 15.

Lattice parameters (Å, degrees): 8.721 8.721 7.004 102.38 102.38 126.79
Atoms (fractional coordinates):
Ag  0.167  0.833  0.750
Ag  0.833  0.167  0.250
Te  0.330  0.670  0.250
Te  0.670  0.330  0.750
Cl  0.017  0.439  0.737
Cl  0.198  0.318  0.231
Cl  0.318  0.198  0.731
Cl  0.439  0.017  0.237
Cl  0.561  0.983  0.763
Cl  0.682  0.802  0.269
Cl  0.802  0.682  0.769
Cl  0.983  0.561  0.263